LaPCO2: relaxed, PBE.

Cell lengths 4.232, 4.232, 3.582 Å; angles 90.00, 90.00, 90.00 degrees
Fractional coordinates of all 5 atoms:
La (0.500, 0.500, 0.500)
C (0.000, 0.000, 0.000)
O (0.000, 0.500, 0.000)
O (0.500, 0.000, 0.000)
P (0.000, 0.000, 0.500)

Properties
- calculated volume (Å³/atom) = 12.83
- calculated density (g/cm³) = 5.54
- symmetry = P4/mmm
- ΔE to the lowest computed polymorph (eV per formula unit) = 0.000